(1)
! AlFeW2, optimized geometry, DFT PBE; values from VASP
! E	-9.484	eV/atom
! symmetry	No. 44
! formation energy from the elements	0.044	eV/atom
&SYSTEM
  ibrav = 0, nat = 4, ntyp = 3
/
ATOMIC_SPECIES
Fe 55.84 Fe.upf
W 183.84 W.upf
Al 26.98 Al.upf
CELL_PARAMETERS angstrom
4.9521 -0.1955 0.4124
4.0476 2.8597 0.4124
1.6157 0.4783 4.0365
ATOMIC_POSITIONS crystal
Fe 0.2519 0.2519 0.2483
W 0.9905 0.9905 0.0094
W 0.7438 0.7438 0.7561
Al 0.5138 0.5138 0.4862

=====

(2)
! MnZnTe2Pb, optimized geometry, DFT PBE; values from VASP
! E_form (uncorrected)	0.4406	eV per atom
! E	-3.646	eV/atom
! symmetry	No. 123
! distance to the lowest polymorph of the same formula	281.6	meV/atom
&SYSTEM
  ibrav = 0, nat = 5, ntyp = 4
/
ATOMIC_SPECIES
Pb 207.20 Pb.upf
Zn 65.41 Zn.upf
Te 127.60 Te.upf
Mn 54.94 Mn.upf
CELL_PARAMETERS angstrom
5.0442 0.0000 0.0000
0.0000 5.2802 0.0000
0.0000 0.0000 5.0442
ATOMIC_POSITIONS crystal
Pb 0.0000 0.5000 0.0000
Zn 0.5000 0.5000 0.5000
Te 0.0000 0.0000 0.5000
Te 0.5000 0.0000 0.0000
Mn 0.0000 0.0000 0.0000

=====

(3)
! LaYNi2Ge2, optimized geometry, DFT PBE; values from VASP
! E	-6.108	eV/atom
! symmetry	No. 164
! formation energy from the elements	-0.743	eV/atom
&SYSTEM
  ibrav = 0, nat = 6, ntyp = 4
/
ATOMIC_SPECIES
La 138.91 La.upf
Y 88.91 Y.upf
Ni 58.69 Ni.upf
Ge 72.64 Ge.upf
CELL_PARAMETERS angstrom
-3.6180 1.9600 -0.5725
0.3949 -3.9909 -1.0846
-2.3771 -2.2367 7.3649
ATOMIC_POSITIONS crystal
La 0.0000 0.0000 0.0000
Y 0.0000 0.0000 0.5000
Ni 0.6667 0.3333 0.2716
Ni 0.3333 0.6667 0.7284
Ge 0.6667 0.3333 0.7364
Ge 0.3333 0.6667 0.2636

=====

(4)
! Na3AgF4, optimized geometry, DFT PBE; values from VASP
! E_form (uncorrected)	-2.2505	eV per atom
! E	-4.037	eV/atom
! symmetry	No. 59
! distance to the lowest polymorph of the same formula	30.9	meV/atom
&SYSTEM
  ibrav = 0, nat = 16, ntyp = 3
/
ATOMIC_SPECIES
Na 22.99 Na.upf
Ag 107.87 Ag.upf
F 19.00 F.upf
CELL_PARAMETERS angstrom
4.7540 0.0000 0.0000
0.0000 6.9111 0.0000
0.0000 0.0000 8.0477
ATOMIC_POSITIONS crystal
Na 0.5645 0.8329 0.0000
Na 0.0645 0.6665 0.2492
Na 0.5645 0.3335 0.2508
Na 0.0645 0.1671 0.5000
Na 0.5645 0.3335 0.7492
Na 0.0645 0.6665 0.7508
Ag 0.0644 0.1700 0.0000
Ag 0.5644 0.8300 0.5000
F 0.0643 0.8185 0.0000
F 0.5644 0.1672 0.0000
F 0.0643 0.3402 0.2630
F 0.5643 0.6598 0.2370
F 0.0644 0.8328 0.5000
F 0.5643 0.1815 0.5000
F 0.5643 0.6598 0.7630
F 0.0643 0.3402 0.7370

=====

(5)
! Pr2Tc2O7, optimized geometry, DFT PBE; values from VASP
! E_form (uncorrected)	-1.9168	eV per atom
! E	-7.826	eV/atom
! symmetry	No. 65
! distance to the lowest polymorph of the same formula	359.3	meV/atom
&SYSTEM
  ibrav = 0, nat = 11, ntyp = 3
/
ATOMIC_SPECIES
Pr 140.91 Pr.upf
Tc 98.00 Tc.upf
O 16.00 O.upf
CELL_PARAMETERS angstrom
5.2189 -0.0024 -0.0466
0.0025 5.2182 0.0021
-0.3717 -0.0020 5.2059
ATOMIC_POSITIONS crystal
Pr 0.7553 0.5000 0.7553
Pr 0.2447 0.5000 0.2447
Tc 0.7341 0.0000 0.2659
Tc 0.2659 0.0000 0.7341
O 0.0000 0.2267 0.5000
O 0.5000 0.7733 0.0000
O 0.0000 0.7733 0.5000
O 0.5000 0.2267 0.0000
O 0.0000 0.0000 0.0000
O 0.5000 0.7815 0.5000
O 0.5000 0.2185 0.5000

=====

(6)
! CdP2WS, optimized geometry, DFT PBE; values from VASP
! E_form (uncorrected)	0.3461	eV per atom
! E	-5.417	eV/atom
! symmetry	No. 123
! distance to the lowest polymorph of the same formula	0.0	meV/atom
&SYSTEM
  ibrav = 0, nat = 5, ntyp = 4
/
ATOMIC_SPECIES
P 30.97 P.upf
S 32.06 S.upf
W 183.84 W.upf
Cd 112.41 Cd.upf
CELL_PARAMETERS angstrom
4.8291 0.0000 0.0000
0.0000 4.5868 0.0000
0.0000 0.0000 4.8291
ATOMIC_POSITIONS crystal
P 0.0000 0.0000 0.5000
P 0.5000 0.0000 0.0000
S 0.0000 0.5000 0.0000
W 0.0000 0.0000 0.0000
Cd 0.5000 0.5000 0.5000

=====

(7)
! Ni5Pt4W, optimized geometry, DFT PBE; values from VASP
! E	-6.594	eV/atom
! symmetry	No. 12
! formation energy from the elements	0.008	eV/atom
&SYSTEM
  ibrav = 0, nat = 10, ntyp = 3
/
ATOMIC_SPECIES
Ni 58.69 Ni.upf
Pt 195.08 Pt.upf
W 183.84 W.upf
CELL_PARAMETERS angstrom
2.5994 0.0000 -0.7207
-1.4313 6.4194 -5.1627
1.0184 -0.8282 8.7217
ATOMIC_POSITIONS crystal
Ni 0.7736 0.1693 0.5472
Ni 0.8193 0.7176 0.6387
Ni 0.1807 0.2824 0.3613
Ni 0.5000 0.5000 0.0000
Ni 0.2264 0.8307 0.4528
Pt 0.3811 0.5582 0.7623
Pt 0.0883 0.8696 0.1766
Pt 0.6189 0.4418 0.2377
Pt 0.9117 0.1304 0.8234
W 0.5000 0.0000 0.0000

=====

(8)
! Rb3TmPa3Te8, optimized geometry, DFT PBE; values from VASP
! E_form (uncorrected)	-1.0160	eV per atom
! E	-5.082	eV/atom
! symmetry	No. 166
&SYSTEM
  ibrav = 0, nat = 15, ntyp = 4
/
ATOMIC_SPECIES
Rb 85.47 Rb.upf
Tm 168.93 Tm.upf
Pa 231.04 Pa.upf
Te 127.60 Te.upf
CELL_PARAMETERS angstrom
-0.8246 8.3880 -2.5225
-7.1696 -4.8092 1.6942
5.3320 2.9971 8.2231
ATOMIC_POSITIONS crystal
Rb 0.0000 0.0000 0.0000
Rb 0.0000 0.5000 0.0000
Rb 0.5000 0.5000 0.0000
Tm 0.0000 0.0000 0.5000
Pa 0.5000 0.0000 0.5000
Pa 0.5000 0.5000 0.5000
Pa 0.0000 0.5000 0.5000
Te 0.2646 0.5292 0.2938
Te 0.7354 0.4708 0.7062
Te 0.7679 0.5358 0.2997
Te 0.2321 0.4642 0.7003
Te 0.7679 0.0318 0.2998
Te 0.2321 0.9682 0.7002
Te 0.2638 0.0318 0.2998
Te 0.7362 0.9682 0.7002